# 1
The following is a PBE calculation of Ta2CdSi after structural relaxation, from the Alexandria database.

Results
Magnetic moment in Bohr magnetons per cell: 0.00
E_form (uncorrected) in meV per atom: 194
SG: Cm, No. 8

Lattice parameters (Å, degrees): 5.2482 5.2482 4.9663 102.49 102.49 31.63
Fractional positions:
Ta 0.0000 0.0000 0.0000
Ta 0.2299 0.2299 0.6879
Cd 0.7568 0.7568 0.2033
Si 0.4993 0.4993 0.5080

=====

# 2
The following is a PBE calculation of Al4CoTc after structural relaxation, from the Alexandria database.

Results
Energy above the most stable polymorph in this dataset in meV/atom: 256.0
Magnetic moment in Bohr magnetons per cell: 1.75
E_form in meV/atom: 125
SG: F-43m, No. 216

Lattice parameters (Å, degrees): 4.9585 4.9585 4.9585 60.00 60.00 60.00
Fractional positions:
Al 0.1248 0.1248 0.1248
Al 0.1248 0.1248 0.6255
Al 0.1248 0.6255 0.1248
Al 0.6255 0.1248 0.1248
Co 0.7500 0.7500 0.7500
Tc 0.5000 0.5000 0.5000

=====

For each record above, in turn, the calculated VASP energy values are -29.27 -31.69 eV per cell.